Computed, not measured: a geometry-optimized Be3CrS structure at the PBE level of DFT.

Raw total energy = -3.44 eV per atom
SG = No. 221
Offset from the most stable computed form = 475 meV per atom
Spin magnetization = 2.1 μB/f.u.
Formation energy from raw total energies = 35.745 kcal/mol of atoms

Lattice parameters (Å, degrees): 4.2257 4.2257 4.2257 90.00 90.00 90.00
With the nearest neighbours (Å) after each atom.
Fractional coordinates of all 5 atoms:
Be  0.0000  0.5000  0.0000  2 Cr 2.11
Cr  0.0000  0.0000  0.0000  6 Be 2.11
S  0.5000  0.5000  0.5000  12 Be 2.99
Be  0.0000  0.0000  0.5000  2 Cr 2.11
Be  0.5000  0.0000  0.0000  2 Cr 2.11